# Ac2CrSbO8

A relaxed Ac2CrSbO8 crystal (PBE with a Hubbard U, the Alexandria database).

Computed properties:
The symmetry is P-1, No. 2. As for the raw total energy: -86.49 eV for the cell shown.

Unit cell a=5.6205 b=6.0760 c=6.1938 alpha=77.32 beta=67.85 gamma=77.17
Last column: nearest neighbours and their distance in Å.
Atoms (fractional coordinates):
Ac: 0.1149 0.1932 0.1615  6 O 2.42-2.69
Ac: 0.8851 0.8068 0.8385  6 O 2.42-2.69
Cr: 0.5000 0.0000 0.5000  6 O 1.80-1.99
Sb: 0.5000 0.5000 0.5000  6 O 1.96-2.10
O: 0.2454 0.4840 0.8216  1 Sb 1.96
O: 0.2830 0.9829 0.8014  1 Cr 1.80
O: 0.2884 0.8220 0.4297  1 Cr 1.99, 1 Sb 2.10
O: 0.3084 0.2999 0.4205  1 Cr 1.96, 1 Sb 2.03
O: 0.6916 0.7001 0.5795  1 Cr 1.96, 1 Sb 2.03
O: 0.7116 0.1780 0.5703  1 Cr 1.99, 1 Sb 2.10
O: 0.7170 0.0171 0.1986  1 Cr 1.80
O: 0.7546 0.5160 0.1784  1 Sb 1.96